Compound: ScCdRu2
Source: Alexandria via LeMat-Bulk
Functional: SCAN
Structure: PBEsol geometry

Calculated values
VASP energy in eV/atom: -28.460
Symmetry: R-3m
Density of states at the Fermi level in states/eV/atom: 0.8651

CIF file:
```
data_ScCdRu2
_chemical_formula_sum 'Sc3 Cd3 Ru6'
_space_group_name_H-M_alt 'P 1'
_space_group_IT_number 1
_space_group_name_Hall 'P 1'
_cell_length_a 2.9426
_cell_length_b 2.9426
_cell_length_c 25.7738
_cell_angle_alpha 90.00
_cell_angle_beta 90.00
_cell_angle_gamma 120.00
loop_
_atom_site_label
_atom_site_type_symbol
_atom_site_fract_x
_atom_site_fract_y
_atom_site_fract_z
Sc1 Sc 0.0000 0.0000 0.0000
Sc2 Sc 0.3333 0.6667 0.6667
Sc3 Sc 0.6667 0.3333 0.3333
Cd1 Cd 0.0000 0.0000 0.5000
Cd2 Cd 0.3333 0.6667 0.1667
Cd3 Cd 0.6667 0.3333 0.8333
Ru1 Ru 0.0000 0.0000 0.2540
Ru2 Ru 0.0000 0.0000 0.7460
Ru3 Ru 0.3333 0.6667 0.4127
Ru4 Ru 0.3333 0.6667 0.9206
Ru5 Ru 0.6667 0.3333 0.0794
Ru6 Ru 0.6667 0.3333 0.5873
```